(1)
DFT (PBE-GGA) results for Cs3ZrMo after structural relaxation.

Cell lengths 6.1885, 6.1885, 6.1885 Å; angles 90.00, 90.00, 90.00 degrees
Closest atoms and distances in Å follow each position.
Sites, in units of the cell vectors:
Cs 0.0000 0.0000 0.5000  2 Mo 3.09
Cs 0.0000 0.5000 0.0000  2 Mo 3.09
Cs 0.5000 0.0000 0.0000  2 Mo 3.09
Zr 0.5000 0.5000 0.5000  12 Cs 4.38
Mo 0.0000 0.0000 0.0000  6 Cs 3.09

Computed properties:
**Calculated volume**: 237 Å³ per cell
**SG**: Pm-3m
**Crystal system**: cubic
**ΔE to the lowest computed polymorph**: 0 meV/atom
**Formation energy**: 2.164 eV per atom

---

(2)
DFT (PBE-GGA) results for PPbO3 after structural relaxation.

Cell lengths 4.1745, 4.1745, 4.1745 Å; angles 90.00, 90.00, 90.00 degrees
Closest atoms and distances in Å follow each position.
Sites, in units of the cell vectors:
P 0.0000 0.0000 0.0000  12 O 2.95
Pb 0.5000 0.5000 0.5000  6 O 2.09
O 0.0000 0.5000 0.5000  2 Pb 2.09
O 0.5000 0.0000 0.5000  2 Pb 2.09
O 0.5000 0.5000 0.0000  2 Pb 2.09

Computed properties:
**Calculated volume**: 73 Å³ per cell
**SG**: Pm-3m
**Crystal system**: cubic
**Energy relative to the elements, uncorrected**: 0.33 eV/atom

---

(3)
DFT (PBE-GGA) results for CsNa2Sr after structural relaxation.

Cell lengths 4.7679, 4.7679, 9.9114 Å; angles 90.00, 90.00, 90.00 degrees
Closest atoms and distances in Å follow each position.
Sites, in units of the cell vectors:
Cs 0.0000 0.0000 0.0000  8 Na 4.48, 4 Cs 4.77, 2 Sr 4.96
Na 0.5000 0.5000 0.2975  4 Sr 3.92, 1 Na 4.01
Na 0.5000 0.5000 0.7025  4 Sr 3.92, 1 Na 4.01
Sr 0.0000 0.0000 0.5000  8 Na 3.92

Computed properties:
**Calculated volume**: 225 Å³ per cell
**SG**: P4/mmm
**Crystal system**: tetragonal
**ΔE to the lowest computed polymorph**: 0 meV/atom
**Formation energy**: 0.049 eV per atom

---

(4)
DFT (PBE-GGA) results for VRh2N after structural relaxation.

Cell lengths 6.0849, 6.0849, 6.0849 Å; angles 131.75, 131.75, 70.63 degrees
Closest atoms and distances in Å follow each position.
Sites, in units of the cell vectors:
V 0.0000 0.0000 0.0000  4 Rh 2.38
V 0.7500 0.2500 0.5000  4 Rh 2.38
Rh 0.1972 0.6250 0.0722  2 N 1.97
Rh 0.3750 0.4472 0.5722  2 N 1.97
Rh 0.5528 0.1250 0.9278  2 N 1.97
Rh 0.8750 0.8028 0.4278  2 N 1.97
N 0.2500 0.7500 0.5000  4 Rh 1.97
N 0.5000 0.5000 0.0000  4 Rh 1.97

Computed properties:
**Calculated volume**: 123 Å³ per cell
**SG**: I-42d
**Crystal system**: tetragonal
**Energy relative to the elements, uncorrected**: 0.33 eV/atom

---

(5)
DFT (PBE-GGA) results for Ce5DyBi3 after structural relaxation.

Cell lengths 9.6666, 9.6666, 6.6171 Å; angles 90.00, 90.00, 120.00 degrees
Closest atoms and distances in Å follow each position.
Sites, in units of the cell vectors:
Ce 0.0000 0.3307 0.2500  5 Bi 3.22-3.31, 2 Dy 3.60
Ce 0.0000 0.6693 0.7500  5 Bi 3.22-3.31, 2 Dy 3.60
Ce 0.3307 0.0000 0.2500  5 Bi 3.22-3.31, 2 Dy 3.60
Ce 0.3307 0.3307 0.7500  5 Bi 3.22-3.31, 2 Dy 3.60
Ce 0.3333 0.6667 0.0000  8 Ce 3.31-3.63, 6 Bi 3.61
Ce 0.3333 0.6667 0.5000  8 Ce 3.31-3.63, 6 Bi 3.61
Ce 0.6667 0.3333 0.0000  8 Ce 3.31-3.63, 6 Bi 3.61
Ce 0.6667 0.3333 0.5000  8 Ce 3.31-3.63, 6 Bi 3.61
Ce 0.6693 0.0000 0.7500  5 Bi 3.22-3.31, 2 Dy 3.60
Ce 0.6693 0.6693 0.2500  5 Bi 3.22-3.31, 2 Dy 3.60
Dy 0.0000 0.0000 0.0000  2 Dy 3.31, 6 Ce 3.60, 6 Bi 3.65
Dy 0.0000 0.0000 0.5000  2 Dy 3.31, 6 Ce 3.60, 6 Bi 3.65
Bi 0.0000 0.3361 0.7500  5 Ce 3.22-3.31
Bi 0.0000 0.6639 0.2500  5 Ce 3.22-3.31
Bi 0.3361 0.0000 0.7500  5 Ce 3.22-3.31
Bi 0.3361 0.3361 0.2500  5 Ce 3.22-3.31
Bi 0.6639 0.0000 0.2500  5 Ce 3.22-3.31
Bi 0.6639 0.6639 0.7500  5 Ce 3.22-3.31

Computed properties:
**Calculated volume**: 535 Å³ per cell
**SG**: P6_3/mcm
**Crystal system**: hexagonal
**Formation energy**: -0.446 eV per atom

---

(6)
DFT (PBE-GGA) results for Rb2BeNiCl6 after structural relaxation.

Cell lengths 7.1098, 7.1098, 7.1098 Å; angles 123.68, 123.68, 83.73 degrees
Closest atoms and distances in Å follow each position.
Sites, in units of the cell vectors:
Rb 0.2500 0.7500 0.5000  12 Cl 3.37-3.56
Rb 0.7500 0.2500 0.5000  12 Cl 3.37-3.56
Be 0.0000 0.0000 0.0000  4 Cl 2.18
Ni 0.5000 0.5000 0.0000  2 Cl 2.29
Cl 0.2298 0.2298 0.4595  1 Be 2.18
Cl 0.2298 0.7702 0.0000  1 Be 2.18
Cl 0.2839 0.2839 0.0000  1 Ni 2.29
Cl 0.7161 0.7161 0.0000  1 Ni 2.29
Cl 0.7702 0.2298 0.0000  1 Be 2.18
Cl 0.7702 0.7702 0.5405  1 Be 2.18

Computed properties:
**Calculated volume**: 238 Å³ per cell
**SG**: I4/mmm
**Crystal system**: tetragonal
**Energy relative to the elements, uncorrected**: -1.21 eV/atom

---

(7)
DFT (PBE-GGA) results for Er2CdNi9 after structural relaxation.

Cell lengths 8.5007, 8.5007, 8.5007 Å; angles 33.66, 33.66, 33.66 degrees
Closest atoms and distances in Å follow each position.
Sites, in units of the cell vectors:
Er 0.1361 0.1361 0.1361  12 Ni 2.78-3.10
Er 0.8639 0.8639 0.8639  12 Ni 2.78-3.10
Cd 0.0000 0.0000 0.0000  18 Ni 2.84-3.16
Ni 0.0809 0.5834 0.5834  7 Ni 2.43-2.48
Ni 0.3331 0.3331 0.3331  6 Ni 2.43-2.45
Ni 0.4166 0.4166 0.9191  7 Ni 2.43-2.48
Ni 0.4166 0.9191 0.4166  7 Ni 2.43-2.48
Ni 0.5000 0.5000 0.5000  6 Ni 2.48
Ni 0.5834 0.0809 0.5834  7 Ni 2.43-2.48
Ni 0.5834 0.5834 0.0809  7 Ni 2.43-2.48
Ni 0.6669 0.6669 0.6669  6 Ni 2.43-2.45
Ni 0.9191 0.4166 0.4166  7 Ni 2.43-2.48

Computed properties:
**Calculated volume**: 168 Å³ per cell
**SG**: R-3m
**Crystal system**: trigonal
**Formation energy**: -0.253 eV per atom

---

(8)
DFT (PBE-GGA) results for GdInCuRu after structural relaxation.

Cell lengths 4.7419, 4.7419, 4.7419 Å; angles 60.00, 60.00, 60.00 degrees
Closest atoms and distances in Å follow each position.
Sites, in units of the cell vectors:
Gd 0.0000 0.0000 0.0000  4 Cu 2.90, 4 Ru 2.90
In 0.5000 0.5000 0.5000  4 Cu 2.90, 4 Ru 2.90
Cu 0.7500 0.7500 0.7500  4 Gd 2.90, 4 In 2.90
Ru 0.2500 0.2500 0.2500  4 Gd 2.90, 4 In 2.90

Computed properties:
**Calculated volume**: 75 Å³ per cell
**SG**: F-43m
**Crystal system**: cubic
**Formation energy**: -0.148 eV per atom

---

(9)
DFT (PBE-GGA) results for Rb2SrH6Ir after structural relaxation.

Cell lengths 6.1843, 6.1843, 6.2641 Å; angles 90.00, 90.00, 120.00 degrees
Closest atoms and distances in Å follow each position.
Sites, in units of the cell vectors:
Rb 0.3333 0.6667 0.3740  9 H 2.82-3.13
Rb 0.6667 0.3333 0.6260  9 H 2.82-3.13
Sr 0.0000 0.0000 0.0000  6 H 2.55
H 0.1287 0.2574 0.6578  1 Ir 1.70
H 0.1287 0.8713 0.6578  1 Ir 1.70
H 0.2574 0.1287 0.3422  1 Ir 1.70
H 0.7426 0.8713 0.6578  1 Ir 1.70
H 0.8713 0.1287 0.3422  1 Ir 1.70
H 0.8713 0.7426 0.3422  1 Ir 1.70
Ir 0.0000 0.0000 0.5000  6 H 1.70

Computed properties:
**Calculated volume**: 207 Å³ per cell
**SG**: P-3m1
**Crystal system**: trigonal

---

(10)
DFT (PBE-GGA) results for BaCd4Hg6 after structural relaxation.

Cell lengths 8.2052, 8.2052, 5.0404 Å; angles 90.00, 90.00, 120.00 degrees
Closest atoms and distances in Å follow each position.
Sites, in units of the cell vectors:
Ba 0.0000 0.0000 0.0000  9 Hg 3.71-3.79, 6 Cd 3.91
Cd 0.1706 0.7518 0.5000  6 Hg 2.86-3.17, 2 Cd 3.10
Cd 0.2482 0.4189 0.5000  6 Hg 2.86-3.17, 2 Cd 3.10
Cd 0.5811 0.8294 0.5000  6 Hg 2.86-3.17, 2 Cd 3.10
Cd 0.6667 0.3333 0.0000  9 Hg 2.95-3.18
Hg 0.0768 0.4859 0.0000  5 Cd 2.95-3.17, 4 Hg 3.24-3.26
Hg 0.3964 0.1694 0.5000  4 Cd 2.86-3.18
Hg 0.4091 0.9232 0.0000  5 Cd 2.95-3.17, 4 Hg 3.24-3.26
Hg 0.5141 0.5909 0.0000  5 Cd 2.95-3.17, 4 Hg 3.24-3.26
Hg 0.7730 0.6036 0.5000  4 Cd 2.86-3.18
Hg 0.8306 0.2270 0.5000  4 Cd 2.86-3.18

Computed properties:
**Calculated volume**: 294 Å³ per cell
**SG**: P-6
**Crystal system**: hexagonal
**ΔE to the lowest computed polymorph**: 0 meV/atom
**Formation energy**: -0.157 eV per atom

---

(11)
DFT (PBE-GGA) results for HgSbAu2 after structural relaxation.

Cell lengths 4.9686, 4.9686, 4.9686 Å; angles 60.00, 60.00, 60.00 degrees
Closest atoms and distances in Å follow each position.
Sites, in units of the cell vectors:
Hg 0.0000 0.0000 0.0000  4 Sb 3.04, 4 Au 3.04
Sb 0.2500 0.2500 0.2500  4 Hg 3.04, 4 Au 3.04
Au 0.5000 0.5000 0.5000  4 Sb 3.04, 4 Au 3.04
Au 0.7500 0.7500 0.7500  4 Hg 3.04, 4 Au 3.04

Computed properties:
**Calculated volume**: 87 Å³ per cell
**SG**: F-43m
**Crystal system**: cubic
**ΔE to the lowest computed polymorph**: 189 meV/atom
**Energy relative to the elements, uncorrected**: 0.21 eV/atom

---

(12)
DFT (PBE-GGA) results for Cu2PRu after structural relaxation.

Cell lengths 4.4625, 4.4625, 2.9324 Å; angles 90.00, 90.00, 116.44 degrees
Closest atoms and distances in Å follow each position.
Sites, in units of the cell vectors:
Cu 0.0000 0.5000 0.0000  2 Cu 2.35
Cu 0.5000 0.0000 0.0000  2 Cu 2.35
P 0.0000 0.0000 0.5000  2 Ru 2.35
Ru 0.5000 0.5000 0.5000  2 P 2.35

Computed properties:
**Calculated volume**: 52 Å³ per cell
**SG**: Cmmm
**Crystal system**: orthorhombic
**Formation energy**: 0.146 eV per atom

---

| no. | total energy (eV/cell) |
| --- | --- |
| 1 | -11.12 |
| 2 | -22.35 |
| 3 | -4.98 |
| 4 | -61.69 |
| 5 | -99.86 |
| 6 | -34.65 |
| 7 | -65.11 |
| 8 | -30.78 |
| 9 | -36.39 |
| 10 | -9.12 |
| 11 | -10.13 |
| 12 | -22.29 |